Record 1
# RbAg2PSe2S2 PBE optimized geometry
# Density in g/cm3: 4.43
# Excess energy over the best structure of this formula in the dataset in meV/atom: 2
data_RbAg2PSe2S2
_cell_length_a 9.648
_cell_length_b 9.845
_cell_length_c 8.755
_cell_angle_alpha 90.00
_cell_angle_beta 90.00
_cell_angle_gamma 90.00
_space_group_name_H-M_alt 'F m m 2'
_space_group_IT_number 42
_space_group_name_Hall 'F 2 -2'
loop_
_atom_site_label
_atom_site_fract_x
_atom_site_fract_y
_atom_site_fract_z
Rb1 0.000 0.000 0.000
Ag1 0.250 0.250 0.253
P1 0.000 0.000 0.492
Se1 0.000 0.186 0.643
S1 0.178 0.000 0.361

=====

Record 2
# Rb2Ag2SnP3Se9 PBE optimized geometry
# Density in g/cm3: 4.31
# Final energy in eV/atom: -3.920
data_Rb2Ag2SnP3Se9
_cell_length_a 11.492
_cell_length_b 7.895
_cell_length_c 24.149
_cell_angle_alpha 90.00
_cell_angle_beta 113.00
_cell_angle_gamma 90.00
_space_group_name_H-M_alt 'P 1 21/c 1'
_space_group_IT_number 14
_space_group_name_Hall '-P 2ybc'
loop_
_atom_site_label
_atom_site_fract_x
_atom_site_fract_y
_atom_site_fract_z
Rb1 0.075 0.078 0.322
Rb2 0.262 0.572 0.504
Ag1 0.422 0.570 0.849
Ag2 0.443 0.196 0.257
Sn1 0.301 0.058 0.617
P1 0.109 0.117 0.156
P2 0.234 0.623 0.678
P3 0.434 0.116 0.491
Se1 0.075 0.541 0.348
Se2 0.108 0.212 0.068
Se3 0.130 0.710 0.099
Se4 0.205 0.190 0.725
Se5 0.238 0.732 0.763
Se6 0.251 0.021 0.492
Se7 0.411 0.219 0.403
Se8 0.424 0.550 0.681
Se9 0.475 0.699 0.437

=====

Record 3
# Ag2PS3 PBE optimized geometry
# Density in g/cm3: 4.53
# Final energy in eV/atom: -4.079
data_Ag2PS3
_cell_length_a 6.318
_cell_length_b 11.204
_cell_length_c 14.218
_cell_angle_alpha 90.00
_cell_angle_beta 90.00
_cell_angle_gamma 90.00
_space_group_name_H-M_alt 'P 21 21 21'
_space_group_IT_number 19
_space_group_name_Hall 'P 2ac 2ab'
loop_
_atom_site_label
_atom_site_fract_x
_atom_site_fract_y
_atom_site_fract_z
Ag1 0.024 0.187 0.112
Ag2 0.084 0.645 0.611
Ag3 0.089 0.380 0.634
Ag4 0.206 0.291 0.376
P1 0.064 0.002 0.458
P2 0.111 0.969 0.298
S1 0.091 0.665 0.035
S2 0.111 0.362 0.992
S3 0.145 0.987 0.016
S4 0.181 0.468 0.263
S5 0.217 0.886 0.751
S6 0.237 0.191 0.788

=====

Record 4
# AgPS4 PBE optimized geometry
# Density in g/cm3: 3.12
# Final energy in eV/atom: -4.100
data_AgPS4
_cell_length_a 6.152
_cell_length_b 6.152
_cell_length_c 7.518
_cell_angle_alpha 90.00
_cell_angle_beta 90.00
_cell_angle_gamma 90.00
_space_group_name_H-M_alt 'I -4'
_space_group_IT_number 82
_space_group_name_Hall 'I -4'
loop_
_atom_site_label
_atom_site_fract_x
_atom_site_fract_y
_atom_site_fract_z
Ag1 0.000 0.000 0.000
P1 0.000 0.500 0.250
S1 0.183 0.713 0.395

=====

Record 5
# AgPS4 PBE optimized geometry
# Density in g/cm3: 2.69
# Final energy in eV/atom: -4.032
data_AgPS4
_cell_length_a 6.176
_cell_length_b 6.184
_cell_length_c 8.620
_cell_angle_alpha 90.00
_cell_angle_beta 90.00
_cell_angle_gamma 90.00
_space_group_name_H-M_alt 'P 2 2 2'
_space_group_IT_number 16
_space_group_name_Hall 'P 2 2'
loop_
_atom_site_label
_atom_site_fract_x
_atom_site_fract_y
_atom_site_fract_z
Ag1 0.000 0.000 0.000
Ag2 0.500 0.000 0.500
P1 0.000 0.000 0.500
P2 0.000 0.500 0.000
S1 0.192 0.306 0.134
S2 0.201 0.190 0.629

=====

Record 6
# AgPS6 PBE optimized geometry
# Density in g/cm3: 3.39
# Final energy in eV/atom: -3.431
data_AgPS6
_cell_length_a 8.661
_cell_length_b 8.661
_cell_length_c 8.661
_cell_angle_alpha 90.00
_cell_angle_beta 90.00
_cell_angle_gamma 90.00
_space_group_name_H-M_alt 'F -4 3 m'
_space_group_IT_number 216
_space_group_name_Hall 'F -4 2 3'
loop_
_atom_site_label
_atom_site_fract_x
_atom_site_fract_y
_atom_site_fract_z
Ag1 0.000 0.000 0.000
P1 0.250 0.250 0.250
S1 0.000 0.250 0.250

=====

Record 7
# Ag3P2S8 PBE optimized geometry
# Density in g/cm3: 3.14
# Final energy in eV/atom: -4.083
data_Ag3P2S8
_cell_length_a 7.4028
_cell_length_b 7.4028
_cell_length_c 7.1544
_cell_angle_alpha 90.00
_cell_angle_beta 90.00
_cell_angle_gamma 120.00
_space_group_name_H-M_alt 'P -3 m 1'
_space_group_IT_number 164
_space_group_name_Hall '-P 3 2"'
loop_
_atom_site_label
_atom_site_fract_x
_atom_site_fract_y
_atom_site_fract_z
Ag1 0.0000 0.5000 0.0000
P1 0.3333 0.6667 0.6623
S1 0.1851 0.3702 0.7893
S2 0.3333 0.6667 0.3909

=====

Record 8
# YAg3P2S8 PBE optimized geometry
# Density in g/cm3: 3.86
# Final energy in eV/atom: -4.748
data_YAg3P2S8
_cell_length_a 17.131
_cell_length_b 9.301
_cell_length_c 9.462
_cell_angle_alpha 90.00
_cell_angle_beta 123.47
_cell_angle_gamma 90.00
_space_group_name_H-M_alt 'C 1 2/c 1'
_space_group_IT_number 15
_space_group_name_Hall '-C 2yc'
loop_
_atom_site_label
_atom_site_fract_x
_atom_site_fract_y
_atom_site_fract_z
Y1 0.000 0.035 0.250
Ag1 0.000 0.429 0.250
Ag2 0.152 0.384 0.029
P1 0.098 0.242 0.628
S1 0.042 0.176 0.004
S2 0.126 0.447 0.729
S3 0.135 0.237 0.456
S4 0.168 0.093 0.816